VASP calculation (PBE+U) on a relaxed Dy3V5O12 crystal.

Calculated values
space-group type: Ia-3d, No. 230
calculated total energy: -8.082 eV/atom

Cell lengths 10.9032, 10.9032, 10.9032 Å; angles 109.47, 109.47, 109.47 degrees
Closest atoms and distances in Å follow each position.
Element x y z (fractional)
O  0.9676  0.3731  0.2884  2 V 1.89-2.09
O  0.7116  0.5848  0.1792  2 V 1.89-2.09
O  0.6269  0.5944  0.9152  2 V 1.89-2.09
O  0.9056  0.8208  0.5324  2 V 1.89-2.09
O  0.5944  0.9676  0.6792  2 V 1.89-2.09
O  0.2116  0.6792  0.0848  2 V 1.89-2.09
O  0.9676  0.5944  0.1792  2 V 1.89-2.09
O  0.7884  0.4676  0.3731  2 V 1.89-2.09
O  0.7116  0.1269  0.0324  2 V 1.89-2.09
O  0.2884  0.4152  0.8208  2 V 1.89-2.09
O  0.6792  0.2116  0.5848  2 V 1.89-2.09
O  0.8208  0.9056  0.0324  2 V 1.89-2.09
O  0.0324  0.6269  0.7116  2 V 1.89-2.09
O  0.0944  0.1792  0.4676  2 V 1.89-2.09
O  0.3208  0.5324  0.4056  2 V 1.89-2.09
O  0.3731  0.4056  0.0848  2 V 1.89-2.09
O  0.9152  0.0944  0.6269  2 V 1.89-2.09
O  0.5324  0.2116  0.1269  2 V 1.89-2.09
O  0.2116  0.5324  0.6269  2 V 1.89-2.09
O  0.8208  0.9152  0.2884  2 V 1.89-2.09
O  0.5324  0.3208  0.9056  2 V 1.89-2.09
O  0.9056  0.0848  0.8731  2 V 1.89-2.09
O  0.7884  0.3208  0.9152  2 V 1.89-2.09
O  0.4056  0.3731  0.5848  2 V 1.89-2.09
O  0.5848  0.8731  0.4056  2 V 1.89-2.09
O  0.4152  0.2884  0.3208  2 V 1.89-2.09
O  0.1269  0.4152  0.0944  2 V 1.89-2.09
O  0.6792  0.4676  0.5944  2 V 1.89-2.09
O  0.1269  0.7116  0.5324  2 V 1.89-2.09
O  0.5848  0.7116  0.6792  2 V 1.89-2.09
O  0.2884  0.8731  0.9676  2 V 1.89-2.09
O  0.4676  0.6792  0.0944  2 V 1.89-2.09
O  0.4056  0.0324  0.3208  2 V 1.89-2.09
O  0.8731  0.2884  0.4676  2 V 1.89-2.09
O  0.0848  0.1792  0.2116  2 V 1.89-2.09
O  0.4676  0.7884  0.8731  2 V 1.89-2.09
O  0.9152  0.8208  0.7884  2 V 1.89-2.09
O  0.1792  0.0944  0.9676  2 V 1.89-2.09
O  0.4152  0.1269  0.5944  2 V 1.89-2.09
O  0.0324  0.4056  0.8208  2 V 1.89-2.09
O  0.1792  0.0848  0.7116  2 V 1.89-2.09
O  0.0848  0.9056  0.3731  2 V 1.89-2.09
O  0.8731  0.5848  0.9056  2 V 1.89-2.09
O  0.0944  0.9152  0.1269  2 V 1.89-2.09
O  0.3208  0.7884  0.4152  2 V 1.89-2.09
O  0.3731  0.9676  0.7884  2 V 1.89-2.09
O  0.6269  0.0324  0.2116  2 V 1.89-2.09
O  0.5944  0.6269  0.4152  2 V 1.89-2.09
Dy  0.2500  0.1250  0.3750  8 O 2.38-2.46
Dy  0.8750  0.1250  0.2500  8 O 2.38-2.46
Dy  0.3750  0.6250  0.2500  8 O 2.38-2.46
Dy  0.7500  0.8750  0.6250  8 O 2.38-2.46
Dy  0.3750  0.7500  0.6250  8 O 2.38-2.46
Dy  0.1250  0.2500  0.8750  8 O 2.38-2.46
Dy  0.2500  0.6250  0.8750  8 O 2.38-2.46
Dy  0.8750  0.7500  0.1250  8 O 2.38-2.46
Dy  0.7500  0.3750  0.1250  8 O 2.38-2.46
Dy  0.6250  0.3750  0.7500  8 O 2.38-2.46
Dy  0.1250  0.8750  0.7500  8 O 2.38-2.46
Dy  0.6250  0.2500  0.3750  8 O 2.38-2.46
V  0.5000  0.0000  0.0000  6 O 2.09
V  0.0000  0.0000  0.0000  6 O 2.09
V  0.3750  0.2500  0.1250  4 O 1.89
V  0.7500  0.1250  0.8750  4 O 1.89
V  0.3750  0.1250  0.7500  4 O 1.89
V  0.6250  0.7500  0.8750  4 O 1.89
V  0.2500  0.3750  0.6250  4 O 1.89
V  0.5000  0.5000  0.5000  6 O 2.09
V  0.1250  0.7500  0.3750  4 O 1.89
V  0.8750  0.6250  0.7500  4 O 1.89
V  0.2500  0.8750  0.1250  4 O 1.89
V  0.0000  0.5000  0.5000  6 O 2.09
V  0.8750  0.2500  0.6250  4 O 1.89
V  0.5000  0.0000  0.5000  6 O 2.09
V  0.1250  0.3750  0.2500  4 O 1.89
V  0.7500  0.6250  0.3750  4 O 1.89
V  0.6250  0.8750  0.2500  4 O 1.89
V  0.0000  0.5000  0.0000  6 O 2.09
V  0.0000  0.0000  0.5000  6 O 2.09
V  0.5000  0.5000  0.0000  6 O 2.09